1.
Ta2BeAs, single point on PBEsol structure, DFT SCAN; energy above the lowest structure with this stoichiometry = 0.473 eV per atom
1.0
0.0000 3.0891 3.0891
3.0891 0.0000 3.0891
3.0891 3.0891 0.0000
Ta Be As
2 1 1
Direct
0.2500 0.2500 0.2500
0.7500 0.7500 0.7500
0.0000 0.0000 0.0000
0.5000 0.5000 0.5000

***

2.
Here is a PBEsol-optimized structure of TaBe2As from Alexandria. Energies are from SCAN.

Structure (POSCAR):
```
TaBe2As
1.0
2.7337 0.0000 0.0000
0.0000 2.7337 0.0000
0.0000 0.0000 7.4542
Ta Be As
1 2 1
Direct
0.0000 0.0000 0.0000
0.5000 0.5000 0.2396
0.5000 0.5000 0.7604
0.0000 0.0000 0.5000
```

***

3.
Here is a PBEsol-optimized structure of TaBeAs3 from Alexandria. Energies are from SCAN.

Structure (POSCAR):
```
TaBeAs3
1.0
4.9179 0.0000 0.0000
0.0000 4.9179 0.0000
0.0000 0.0000 4.9179
Ta Be As
1 1 3
Direct
0.0000 0.0000 0.0000
0.5000 0.5000 0.5000
0.0000 0.0000 0.5000
0.0000 0.5000 0.0000
0.5000 0.0000 0.0000
```

***

The following DOS(E_F) values (in states/eV per cell) correspond, in order, to the records above: 4.296 1.247 3.276.
The following calculated formation energy values (in kJ/mol of formula units) correspond, in order, to the records above: 55 129 409.